Entry 1:
First-principles (PBE) data for a relaxed TiTeOsRh2 crystal, as listed in the Alexandria database.

Geometry as CIF:
```
data_TiTeOsRh2
_chemical_formula_sum 'Ti1 Te1 Os1 Rh2'
_symmetry_space_group_name_H-M 'P 4/m m m'
_symmetry_Int_Tables_number 123
_symmetry_space_group_name_Hall '-P 4 2'
_cell_length_a 4.795
_cell_length_b 4.795
_cell_length_c 4.655
_cell_angle_alpha 90.00
_cell_angle_beta 90.00
_cell_angle_gamma 90.00
loop_
_atom_site_label
_atom_site_type_symbol
_atom_site_fract_x
_atom_site_fract_y
_atom_site_fract_z
Ti1 Ti 0.000 0.000 0.000
Te1 Te 0.500 0.500 0.000
Os1 Os 0.000 0.000 0.500
Rh1 Rh 0.000 0.500 0.500
```

Mass density in g/cm³: 8.9
V in Å³/atom: 21.4
VASP energy in eV/cell: -32.96
Formation energy without anion corrections in eV/atom: 0.802

***

Entry 2:
First-principles (PBE) data for a relaxed TiTeOs2Rh crystal, as listed in the Alexandria database.

Geometry as CIF:
```
data_TiTeOs2Rh
_chemical_formula_sum 'Ti1 Te1 Os2 Rh1'
_symmetry_space_group_name_H-M 'P 4/m m m'
_symmetry_Int_Tables_number 123
_symmetry_space_group_name_Hall '-P 4 2'
_cell_length_a 4.784
_cell_length_b 4.784
_cell_length_c 4.709
_cell_angle_alpha 90.00
_cell_angle_beta 90.00
_cell_angle_gamma 90.00
loop_
_atom_site_label
_atom_site_type_symbol
_atom_site_fract_x
_atom_site_fract_y
_atom_site_fract_z
Ti1 Ti 0.000 0.000 0.000
Te1 Te 0.500 0.500 0.500
Os1 Os 0.000 0.500 0.500
Rh1 Rh 0.500 0.500 0.000
```

Mass density in g/cm³: 10.2
V in Å³/atom: 21.6
VASP energy in eV/cell: -32.26
Formation energy without anion corrections in eV/atom: 1.718

***

Entry 3:
First-principles (PBE) data for a relaxed YTeOs2Rh crystal, as listed in the Alexandria database.

Geometry as CIF:
```
data_YTeOs2Rh
_chemical_formula_sum 'Y1 Te1 Os2 Rh1'
_symmetry_space_group_name_H-M 'P 4/m m m'
_symmetry_Int_Tables_number 123
_symmetry_space_group_name_Hall '-P 4 2'
_cell_length_a 4.833
_cell_length_b 4.833
_cell_length_c 4.800
_cell_angle_alpha 90.00
_cell_angle_beta 90.00
_cell_angle_gamma 90.00
loop_
_atom_site_label
_atom_site_type_symbol
_atom_site_fract_x
_atom_site_fract_y
_atom_site_fract_z
Y1 Y 0.000 0.000 0.000
Te1 Te 0.500 0.500 0.500
Os1 Os 0.000 0.500 0.500
Rh1 Rh 0.500 0.500 0.000
```

Mass density in g/cm³: 10.4
V in Å³/atom: 22.4
VASP energy in eV/cell: -34.38
Formation energy without anion corrections in eV/atom: 1.007

***

Entry 4:
First-principles (PBE) data for a relaxed Th2OsRh crystal, as listed in the Alexandria database.

Geometry as CIF:
```
data_Th2OsRh
_chemical_formula_sum 'Th6 Os3 Rh3'
_symmetry_space_group_name_H-M 'R -3 m'
_symmetry_Int_Tables_number 166
_symmetry_space_group_name_Hall '-R 3 2"'
_cell_length_a 4.1115
_cell_length_b 4.1115
_cell_length_c 19.9831
_cell_angle_alpha 90.00
_cell_angle_beta 90.00
_cell_angle_gamma 120.00
loop_
_atom_site_label
_atom_site_type_symbol
_atom_site_fract_x
_atom_site_fract_y
_atom_site_fract_z
Th1 Th 0.0000 0.0000 0.2473
Os1 Os 0.0000 0.0000 0.5000
Rh1 Rh 0.0000 0.0000 0.0000
```

Mass density in g/cm³: 12.9
E_form in kcal/mol of atoms: -11.978
V in Å³/atom: 24.4
VASP energy in eV/cell: -106.50

***

Entry 5:
First-principles (PBE) data for a relaxed Th2OsRh crystal, as listed in the Alexandria database.

Geometry as CIF:
```
data_Th2OsRh
_chemical_formula_sum 'Th4 Os2 Rh2'
_symmetry_space_group_name_H-M 'P 1 21/m 1'
_symmetry_Int_Tables_number 11
_symmetry_space_group_name_Hall '-P 2yb'
_cell_length_a 6.052
_cell_length_b 4.135
_cell_length_c 7.861
_cell_angle_alpha 90.00
_cell_angle_beta 109.25
_cell_angle_gamma 90.00
loop_
_atom_site_label
_atom_site_type_symbol
_atom_site_fract_x
_atom_site_fract_y
_atom_site_fract_z
Th1 Th 0.223 0.250 0.436
Th2 Th 0.227 0.250 0.927
Os1 Os 0.318 0.750 0.706
Rh1 Rh 0.302 0.750 0.200
```

Mass density in g/cm³: 13.5
E_form in kcal/mol of atoms: -15.080
V in Å³/atom: 23.2
VASP energy in eV/cell: -72.07

***

Entry 6:
First-principles (PBE) data for a relaxed Th8Os5Rh crystal, as listed in the Alexandria database.

Geometry as CIF:
```
data_Th8Os5Rh
_chemical_formula_sum 'Th16 Os10 Rh2'
_symmetry_space_group_name_H-M 'I -4'
_symmetry_Int_Tables_number 82
_symmetry_space_group_name_Hall 'I -4'
_cell_length_a 8.888
_cell_length_b 8.888
_cell_length_c 8.851
_cell_angle_alpha 90.00
_cell_angle_beta 90.00
_cell_angle_gamma 90.00
loop_
_atom_site_label
_atom_site_type_symbol
_atom_site_fract_x
_atom_site_fract_y
_atom_site_fract_z
Th1 Th 0.057 0.311 0.065
Th2 Th 0.062 0.193 0.679
Os1 Os 0.000 0.500 0.750
Os2 Os 0.129 0.249 0.371
Rh1 Rh 0.000 0.000 0.000
```

Mass density in g/cm³: 13.8
E_form in kcal/mol of atoms: -8.786
V in Å³/atom: 25.0
VASP energy in eV/cell: -256.39

***

Entry 7:
First-principles (PBE) data for a relaxed ThOsRh crystal, as listed in the Alexandria database.

Geometry as CIF:
```
data_ThOsRh
_chemical_formula_sum 'Th4 Os4 Rh4'
_symmetry_space_group_name_H-M 'A m m 2'
_symmetry_Int_Tables_number 38
_symmetry_space_group_name_Hall 'A 2 -2'
_cell_length_a 9.250
_cell_length_b 5.054
_cell_length_c 5.060
_cell_angle_alpha 90.00
_cell_angle_beta 90.00
_cell_angle_gamma 90.00
loop_
_atom_site_label
_atom_site_type_symbol
_atom_site_fract_x
_atom_site_fract_y
_atom_site_fract_z
Th1 Th 0.193 0.000 0.000
Os1 Os 0.000 0.000 0.500
Os2 Os 0.500 0.000 0.001
Rh1 Rh 0.358 0.000 0.501
```

Mass density in g/cm³: 14.7
E_form in kcal/mol of atoms: -1.613
V in Å³/atom: 19.7
VASP energy in eV/cell: -104.84

***

Entry 8:
First-principles (PBE) data for a relaxed Th6OsRh5 crystal, as listed in the Alexandria database.

Geometry as CIF:
```
data_Th6OsRh5
_chemical_formula_sum 'Th6 Os1 Rh5'
_symmetry_space_group_name_H-M 'P -1'
_symmetry_Int_Tables_number 2
_symmetry_space_group_name_Hall '-P 1'
_cell_length_a 4.167
_cell_length_b 7.985
_cell_length_c 8.941
_cell_angle_alpha 94.34
_cell_angle_beta 103.42
_cell_angle_gamma 90.03
loop_
_atom_site_label
_atom_site_type_symbol
_atom_site_fract_x
_atom_site_fract_y
_atom_site_fract_z
Th1 Th 0.000 0.245 0.000
Th2 Th 0.336 0.480 0.675
Th3 Th 0.336 0.981 0.675
Os1 Os 0.500 0.000 0.000
Rh1 Rh 0.188 0.772 0.374
Rh2 Rh 0.189 0.278 0.374
Rh3 Rh 0.500 0.500 0.000
```

Mass density in g/cm³: 12.1
E_form in kcal/mol of atoms: -18.560
V in Å³/atom: 24.0
VASP energy in eV/cell: -102.16